Below is an optimized crystal structure of Rb2H2Br, with properties calculated at the PBE level.

abc: 8.438 8.438 4.512
angles: 90.00 90.00 90.00
Space group P4/mbm (No. 127)
Inequivalent atoms, fractional coordinates:
Rb (0.207, 0.293, 0.000) x4
H (0.032, 0.532, 0.500) x4
Br (0.000, 0.000, 0.500) x2

***

Below is an optimized crystal structure of Rb2H2Br, with properties calculated at the PBE level.

abc: 9.320 9.320 6.697
angles: 90.00 90.00 90.00
Space group P4/mbm (No. 127)
Inequivalent atoms, fractional coordinates:
Rb (0.204, 0.296, 0.000) x4
H (0.029, 0.529, 0.500) x4
Br (0.000, 0.000, 0.000) x2

***

Below is an optimized crystal structure of Rb6HBr5, with properties calculated at the PBE level.

abc: 8.445 14.645 8.428
angles: 90.00 109.45 90.00
Space group C2/m (No. 12)
Inequivalent atoms, fractional coordinates:
Rb (0.235, 0.000, 0.261) x4
Rb (0.239, 0.158, 0.742) x8
H (0.000, 0.000, 0.500) x2
Br (0.000, 0.169, 0.000) x4
Br (0.000, 0.333, 0.500) x4
Br (0.000, 0.500, 0.000) x2

***

Number 1: electronic total energy -2.60 eV per atom, total magnetization 0.518 μB per formula unit. Number 2: electronic total energy -2.62 eV per atom, total magnetization 0.000 μB per formula unit. Number 3: electronic total energy -2.93 eV per atom, total magnetization 0.065 μB per formula unit.